{"formula": "RbScW2O8", "functional": "PBE with a Hubbard U", "state": "relaxed", "sg": "No. 164", "dft_energy_ev_per_atom": -7.46, "lattice_angstrom": [[5.9304, 0.0000, 0.0000], [-2.9652, 5.1358, 0.0000], [0.0000, 0.0000, 7.7863]], "species": ["Rb", "Sc", "W", "W", "O", "O", "O", "O", "O", "O", "O", "O"], "fractional_positions": [[0.0000, 0.0000, 0.0000], [0.0000, 0.0000, 0.5000], [0.3333, 0.6667, 0.2654], [0.6667, 0.3333, 0.7346], [0.1643, 0.3286, 0.3385], [0.1643, 0.8357, 0.3385], [0.3286, 0.1643, 0.6615], [0.3333, 0.6667, 0.0373], [0.6667, 0.3333, 0.9627], [0.6714, 0.8357, 0.3385], [0.8357, 0.1643, 0.6615], [0.8357, 0.6714, 0.6615]]}